#one
A relaxed structure of V2CuAg, computed with PBE-GGA.

The structure belongs to space group Fm-3m (No. 225); the cell edges are 6.236, 6.236 and 6.236 Å and the angles 90.00°, 90.00° and 90.00°. The inequivalent atoms are V at (0.250, 0.250, 0.250), Cu at (0.000, 0.000, 0.000) and Ag at (0.000, 0.000, 0.500).

Its magnetic moment is 17.23 μB/cell.

=====

#two
A relaxed structure of V2CuAg, computed with PBE-GGA.

The structure belongs to space group I-42d (No. 122); the cell edges are 7.070, 7.070 and 4.894 Å and the angles 90.00°, 90.00° and 90.00°. The inequivalent atoms are V at (0.227, 0.250, 0.125), Cu at (0.000, 0.000, 0.000) and Ag at (0.000, 0.000, 0.500).

Its magnetic moment is 0.00 μB/cell.

=====

It is #one that is the most stable of them.

=====

#one
A relaxed structure of CuAg2W, computed with PBE-GGA.

The structure belongs to space group P4mm (No. 99); the cell edges are 2.771, 2.771 and 8.256 Å and the angles 90.00°, 90.00° and 90.00°. The inequivalent atoms are Cu at (0.000, 0.000, 0.000), Ag at (0.000, 0.000, 0.490), Ag at (0.500, 0.500, 0.763) and W at (0.500, 0.500, 0.221).

Its magnetic moment is 0.00 μB/cell.

=====

#two
A relaxed structure of CuAg2W, computed with PBE-GGA.

The structure belongs to space group R-3m (No. 166, hexagonal axes); the cell edges are 2.8192, 2.8192 and 27.8603 Å and the angles 90.00°, 90.00° and 120.00°. The inequivalent atoms are Cu at (0.0000, 0.0000, 0.0000), Ag at (0.0000, 0.0000, 0.2543) and W at (0.0000, 0.0000, 0.5000).

Its magnetic moment is 0.00 μB/cell.

=====

#three
A relaxed structure of CuAg2W, computed with PBE-GGA.

The structure belongs to space group P2/m (No. 10); the cell edges are 2.656, 4.576 and 5.293 Å and the angles 90.00°, 98.47° and 90.00°. The inequivalent atoms are Cu at (0.000, 0.000, 0.000), Ag at (0.163, 0.500, 0.756) and W at (0.500, 0.000, 0.500).

Its magnetic moment is 0.00 μB/cell.

=====

It is #one that is the most stable of them.

=====

#one
A relaxed structure of CuAgW2, computed with PBE-GGA.

The structure belongs to space group Pm (No. 6); the cell edges are 2.659, 4.327 and 5.489 Å and the angles 90.00°, 98.32° and 90.00°. The inequivalent atoms are Cu at (0.000, 0.000, 0.000), Ag at (0.944, 0.500, 0.747), W at (0.349, 0.000, 0.480) and W at (0.588, 0.500, 0.230).

Its magnetic moment is 0.00 μB/cell.

=====

#two
A relaxed structure of CuAgW2, computed with PBE-GGA.

The structure belongs to space group I-42d (No. 122); the cell edges are 3.687, 3.687 and 19.823 Å and the angles 90.00°, 90.00° and 90.00°. The inequivalent atoms are Cu at (0.000, 0.000, 0.000), Ag at (0.000, 0.000, 0.500) and W at (0.243, 0.250, 0.125).

Its magnetic moment is 0.00 μB/cell.

=====

#three
A relaxed structure of CuAgW2, computed with PBE-GGA.

The structure belongs to space group F-43m (No. 216); the cell edges are 6.328, 6.328 and 6.328 Å and the angles 90.00°, 90.00° and 90.00°. The inequivalent atoms are Cu at (0.000, 0.000, 0.000), Ag at (0.250, 0.250, 0.250), W at (0.000, 0.000, 0.500) and W at (0.250, 0.250, 0.750).

Its magnetic moment is 0.00 μB/cell.

=====

#four
A relaxed structure of CuAgW2, computed with PBE-GGA.

The structure belongs to space group R-3m (No. 166, hexagonal axes); the cell edges are 2.7584, 2.7584 and 28.4722 Å and the angles 90.00°, 90.00° and 120.00°. The inequivalent atoms are Cu at (0.0000, 0.0000, 0.0000), Ag at (0.0000, 0.0000, 0.5000) and W at (0.0000, 0.0000, 0.2545).

Its magnetic moment is 0.00 μB/cell.

=====

It is #one that is the most stable of them.

=====

#one
A relaxed structure of CuAgW2, computed with PBE-GGA.

The structure belongs to space group P4mm (No. 99); the cell edges are 3.262, 3.262 and 5.928 Å and the angles 90.00°, 90.00° and 90.00°. The inequivalent atoms are Cu at (0.000, 0.000, 0.000), Ag at (0.500, 0.500, 0.773), W at (0.000, 0.000, 0.475) and W at (0.500, 0.500, 0.253).

Its magnetic moment is 0.00 μB/cell.

=====

#two
A relaxed structure of CuAgW2, computed with PBE-GGA.

The structure belongs to space group P4mm (No. 99); the cell edges are 2.700, 2.700 and 8.534 Å and the angles 90.00°, 90.00° and 90.00°. The inequivalent atoms are Cu at (0.000, 0.000, 0.000), Ag at (0.500, 0.500, 0.760), W at (0.000, 0.000, 0.494) and W at (0.500, 0.500, 0.227).

Its magnetic moment is 0.00 μB/cell.

=====

It is #two that is the most stable of them.

=====

#one
A relaxed structure of CuAgW2, computed with PBE-GGA.

The structure belongs to space group Cmmm (No. 65); the cell edges are 5.304, 8.742 and 2.670 Å and the angles 90.00°, 90.00° and 90.00°. The inequivalent atoms are Cu at (0.000, 0.000, 0.000), Ag at (0.000, 0.500, 0.000) and W at (0.250, 0.250, 0.500).

Its magnetic moment is 0.00 μB/cell.

=====

#two
A relaxed structure of CuAgW2, computed with PBE-GGA.

The structure belongs to space group P4/mmm (No. 123); the cell edges are 3.308, 3.308 and 5.739 Å and the angles 90.00°, 90.00° and 90.00°. The inequivalent atoms are Cu at (0.000, 0.000, 0.000), Ag at (0.000, 0.000, 0.500) and W at (0.500, 0.500, 0.212).

Its magnetic moment is 0.00 μB/cell.

=====

It is #one that is the most stable of them.

=====

#one
A relaxed structure of CuAgW2, computed with PBE-GGA.

The structure belongs to space group Cmm2 (No. 35); the cell edges are 3.183, 4.400 and 8.977 Å and the angles 90.00°, 90.00° and 90.00°. The inequivalent atoms are Cu at (0.000, 0.000, 0.000), Ag at (0.000, 0.500, 0.755), W at (0.000, 0.000, 0.483) and W at (0.000, 0.500, 0.234).

Its magnetic moment is 0.00 μB/cell.

=====

#two
A relaxed structure of CuAgW2, computed with PBE-GGA.

The structure belongs to space group Pmm2 (No. 25); the cell edges are 2.678, 4.087 and 5.730 Å and the angles 90.00°, 90.00° and 90.00°. The inequivalent atoms are Cu at (0.000, 0.000, 0.000), Ag at (0.500, 0.500, 0.769), W at (0.000, 0.000, 0.488) and W at (0.500, 0.500, 0.251).

Its magnetic moment is 0.00 μB/cell.

=====

#three
A relaxed structure of CuAgW2, computed with PBE-GGA.

The structure belongs to space group C2/m (No. 12); the cell edges are 9.721, 2.884 and 4.551 Å and the angles 90.00°, 101.37° and 90.00°. The inequivalent atoms are Cu at (0.000, 0.000, 0.000), Ag at (0.000, 0.500, 0.500) and W at (0.245, 0.500, 0.243).

Its magnetic moment is 0.00 μB/cell.

=====

It is #one that is the most stable of them.

=====

#one
A relaxed structure of CuAgW2, computed with PBE-GGA.

The structure belongs to space group P4/mmm (No. 123); the cell edges are 3.754, 3.754 and 4.376 Å and the angles 90.00°, 90.00° and 90.00°. The inequivalent atoms are Cu at (0.000, 0.000, 0.000), Ag at (0.500, 0.500, 0.000) and W at (0.000, 0.500, 0.500).

Its magnetic moment is 0.00 μB/cell.

=====

#two
A relaxed structure of CuAgW2, computed with PBE-GGA.

The structure belongs to space group Fm-3m (No. 225); the cell edges are 6.279, 6.279 and 6.279 Å and the angles 90.00°, 90.00° and 90.00°. The inequivalent atoms are Cu at (0.000, 0.000, 0.000), Ag at (0.000, 0.000, 0.500) and W at (0.250, 0.250, 0.250).

Its magnetic moment is 0.00 μB/cell.

=====

#three
A relaxed structure of CuAgW2, computed with PBE-GGA.

The structure belongs to space group Imm2 (No. 44); the cell edges are 3.107, 4.694 and 8.726 Å and the angles 90.00°, 90.00° and 90.00°. The inequivalent atoms are Cu at (0.000, 0.000, 0.000), Ag at (0.000, 0.500, 0.256), W at (0.000, 0.000, 0.477) and W at (0.000, 0.500, 0.747).

Its magnetic moment is 0.00 μB/cell.

=====

It is #one that is the most stable of them.

=====

#one
A relaxed structure of CuAgW2, computed with PBE-GGA.

The structure belongs to space group P2/m (No. 10); the cell edges are 2.660, 4.443 and 5.314 Å and the angles 90.00°, 98.89° and 90.00°. The inequivalent atoms are Cu at (0.000, 0.000, 0.000), Ag at (0.000, 0.000, 0.500) and W at (0.461, 0.500, 0.236).

Its magnetic moment is 0.00 μB/cell.

=====

#two
A relaxed structure of CuAgW2, computed with PBE-GGA.

The structure belongs to space group I-4m2 (No. 119); the cell edges are 3.998, 3.998 and 7.767 Å and the angles 90.00°, 90.00° and 90.00°. The inequivalent atoms are Cu at (0.000, 0.000, 0.000), Ag at (0.000, 0.500, 0.250), W at (0.000, 0.000, 0.500) and W at (0.000, 0.500, 0.750).

Its magnetic moment is 0.00 μB/cell.

=====

#three
A relaxed structure of CuAgW2, computed with PBE-GGA.

The structure belongs to space group Cm (No. 8); the cell edges are 9.155, 2.665 and 5.141 Å and the angles 90.00°, 96.15° and 90.00°. The inequivalent atoms are Cu at (0.000, 0.000, 0.000), Ag at (0.250, 0.500, 0.228), W at (0.000, 0.500, 0.506) and W at (0.257, 0.000, 0.744).

Its magnetic moment is 0.00 μB/cell.

=====

It is #three that is the most stable of them.

=====

#one
A relaxed structure of CuAgW2, computed with PBE-GGA.

The structure belongs to space group Cmmm (No. 65); the cell edges are 3.245, 4.198 and 9.140 Å and the angles 90.00°, 90.00° and 90.00°. The inequivalent atoms are Cu at (0.000, 0.000, 0.000), Ag at (0.000, 0.000, 0.500) and W at (0.000, 0.500, 0.234).

Its magnetic moment is 0.00 μB/cell.

=====

#two
A relaxed structure of CuAgW2, computed with PBE-GGA.

The structure belongs to space group Immm (No. 71); the cell edges are 3.245, 4.173 and 9.159 Å and the angles 90.00°, 90.00° and 90.00°. The inequivalent atoms are Cu at (0.000, 0.000, 0.000), Ag at (0.000, 0.000, 0.500) and W at (0.000, 0.500, 0.259).

Its magnetic moment is 0.00 μB/cell.

=====

It is #one that is the most stable of them.

=====

#one
A relaxed structure of Cu2AgW, computed with PBE-GGA.

The structure belongs to space group Pmm2 (No. 25); the cell edges are 2.638, 3.956 and 5.607 Å and the angles 90.00°, 90.00° and 90.00°. The inequivalent atoms are Cu at (0.000, 0.000, 0.000), Cu at (0.500, 0.500, 0.244), Ag at (0.500, 0.500, 0.754) and W at (0.000, 0.000, 0.465).

Its magnetic moment is 0.00 μB/cell.

=====

#two
A relaxed structure of Cu2AgW, computed with PBE-GGA.

The structure belongs to space group P4/mmm (No. 123); the cell edges are 4.702, 4.702 and 2.646 Å and the angles 90.00°, 90.00° and 90.00°. The inequivalent atoms are Cu at (0.000, 0.500, 0.000), Ag at (0.000, 0.000, 0.500) and W at (0.500, 0.500, 0.500).

Its magnetic moment is 0.00 μB/cell.

=====

#three
A relaxed structure of Cu2AgW, computed with PBE-GGA.

The structure belongs to space group Pmmm (No. 47); the cell edges are 2.656, 4.639 and 4.877 Å and the angles 90.00°, 90.00° and 90.00°. The inequivalent atoms are Cu at (0.000, 0.000, 0.000), Cu at (0.500, 0.000, 0.500), Ag at (0.000, 0.500, 0.500) and W at (0.500, 0.500, 0.000).

Its magnetic moment is 0.00 μB/cell.

=====

#four
A relaxed structure of Cu2AgW, computed with PBE-GGA.

The structure belongs to space group R-3m (No. 166, hexagonal axes); the cell edges are 2.7642, 2.7642 and 26.7820 Å and the angles 90.00°, 90.00° and 120.00°. The inequivalent atoms are Cu at (0.0000, 0.0000, 0.2487), Ag at (0.0000, 0.0000, 0.0000) and W at (0.0000, 0.0000, 0.5000).

Its magnetic moment is 0.00 μB/cell.

=====

It is #four that is the most stable of them.